DFT (PBE-GGA) results for a relaxed LiTcW4 crystal.

Lattice parameters (Å, degrees): 5.2277 5.2277 5.2277 60.00 60.00 60.00
With the nearest neighbours (Å) after each atom.
Fractional coordinates of all 6 atoms:
Li (0.0000, 0.0000, 0.0000)  12 W 3.06, 4 Tc 3.20
Tc (0.7500, 0.7500, 0.7500)  12 W 3.07, 4 Li 3.20
W (0.3743, 0.3743, 0.3743)  6 W 2.60-2.63
W (0.3743, 0.3743, 0.8771)  6 W 2.60-2.63
W (0.3743, 0.8771, 0.3743)  6 W 2.60-2.63
W (0.8771, 0.3743, 0.3743)  6 W 2.60-2.63

The calculation puts the electronic total energy at -10.169 eV per atom. The calculation puts the energy of formation at 513 meV per atom.